# Rb3Hg3Pd | the Alexandria database | PBE-GGA | relaxed
# Formation enthalpy at 0 K, eV per atom: -0.19
# Magnetization, μB/atom: 0.000
# DOS at the Fermi energy, states/eV/f.u.: 3.897
# V, Å³ per cell: 2298.9
data_Rb3Hg3Pd
_cell_length_a 21.6252
_cell_length_b 7.3150
_cell_length_c 14.5323
_cell_angle_alpha 90.00
_cell_angle_beta 90.00
_cell_angle_gamma 90.00
_symmetry_space_group_name_H-M 'C m c e'
_symmetry_Int_Tables_number 64
_symmetry_space_group_name_Hall '-C 2ac 2'
loop_
_atom_site_label
_atom_site_fract_x
_atom_site_fract_y
_atom_site_fract_z
Rb1 0.0000 0.2278 0.1800
Rb2 0.1678 0.1572 0.3642
Hg1 0.0000 0.1839 0.4360
Hg2 0.1612 0.1477 0.0982
Pd1 0.0640 0.0000 0.0000